Compound: Sr2AlHg
Source: Alexandria
Functional: GGA-PBE
Structure: relaxed

Properties
**ΔE_f**: 0.70 eV per formula unit
**Mass density**: 4.31 g/cm³
**Distance to the lowest polymorph of the same formula**: 485 meV per atom

CIF file:
```
data_Sr2AlHg
_cell_length_a 5.389
_cell_length_b 5.389
_cell_length_c 21.375
_cell_angle_alpha 90.00
_cell_angle_beta 90.00
_cell_angle_gamma 90.00
_space_group_name_H-M_alt 'I -4 2 d'
_space_group_IT_number 122
_space_group_name_Hall 'I -4 2bw'
loop_
_atom_site_label
_atom_site_type_symbol
_atom_site_fract_x
_atom_site_fract_y
_atom_site_fract_z
Sr1 Sr 0.250 0.250 0.125
Al1 Al 0.000 0.000 0.000
Hg1 Hg 0.000 0.000 0.500
```



Compound: Sr2AlHg12
Source: Alexandria
Functional: GGA-PBE
Structure: relaxed

Properties
**ΔE_f**: -2.49 eV per formula unit
**Mass density**: 10.45 g/cm³

CIF file:
```
data_Sr2AlHg12
_cell_length_a 6.710
_cell_length_b 6.710
_cell_length_c 18.413
_cell_angle_alpha 90.00
_cell_angle_beta 90.00
_cell_angle_gamma 90.00
_space_group_name_H-M_alt 'P 4/n b m'
_space_group_IT_number 125
loop_
_space_group_symop_operation_xyz
'x,y,z'
'-x,-y,-z'
'-y+1/2,x,z'
'y+1/2,-x,-z'
'-x+1/2,-y+1/2,z'
'x+1/2,y+1/2,-z'
'y,-x+1/2,z'
'-y,x+1/2,-z'
'x,-y+1/2,-z'
'-x,y+1/2,z'
'-y+1/2,-x+1/2,-z'
'y+1/2,x+1/2,z'
'-x+1/2,y,-z'
'x+1/2,-y,z'
'y,x,-z'
'-y,-x,z'
loop_
_atom_site_label
_atom_site_type_symbol
_atom_site_fract_x
_atom_site_fract_y
_atom_site_fract_z
Sr1 Sr 0.250 0.750 0.246
Al1 Al 0.250 0.750 0.000
Hg1 Hg 0.000 0.000 0.086
Hg2 Hg 0.089 0.589 0.431
Hg3 Hg 0.250 0.250 0.187
Hg4 Hg 0.250 0.250 0.342
```



Compound: SrAlHg
Source: Alexandria
Functional: GGA-PBE
Structure: relaxed

Properties
**ΔE_f**: -0.61 eV per formula unit
**Mass density**: 6.51 g/cm³
**Distance to the lowest polymorph of the same formula**: 194 meV per atom

CIF file:
```
data_SrAlHg
_cell_length_a 3.675
_cell_length_b 3.675
_cell_length_c 11.904
_cell_angle_alpha 90.00
_cell_angle_beta 90.00
_cell_angle_gamma 90.00
_space_group_name_H-M_alt 'I 4 m m'
_space_group_IT_number 107
_space_group_name_Hall 'I 4 -2'
loop_
_atom_site_label
_atom_site_type_symbol
_atom_site_fract_x
_atom_site_fract_y
_atom_site_fract_z
Sr1 Sr 0.000 0.000 0.000
Al1 Al 0.000 0.000 0.308
Hg1 Hg 0.000 0.000 0.689
```



Compound: SrAl2Hg
Source: Alexandria
Functional: GGA-PBE
Structure: relaxed

Properties
**ΔE_f**: -0.97 eV per formula unit
**Mass density**: 5.90 g/cm³
**Distance to the lowest polymorph of the same formula**: 0 meV per atom

CIF file:
```
data_SrAl2Hg
_cell_length_a 7.149
_cell_length_b 4.794
_cell_length_c 11.247
_cell_angle_alpha 90.00
_cell_angle_beta 90.00
_cell_angle_gamma 90.00
_space_group_name_H-M_alt 'A m m 2'
_space_group_IT_number 38
_space_group_name_Hall 'A 2 -2'
loop_
_atom_site_label
_atom_site_type_symbol
_atom_site_fract_x
_atom_site_fract_y
_atom_site_fract_z
Sr1 Sr 0.000 0.000 0.000
Sr2 Sr 0.500 0.000 0.170
Al1 Al 0.000 0.000 0.299
Al2 Al 0.310 0.000 0.456
Al3 Al 0.500 0.000 0.885
Hg1 Hg 0.204 0.000 0.708
```



Compound: SrAlHg3
Source: Alexandria
Functional: GGA-PBE
Structure: relaxed

Properties
**ΔE_f**: 2.84 eV per formula unit
**Mass density**: 5.13 g/cm³
**Distance to the lowest polymorph of the same formula**: 759 meV per atom

CIF file:
```
data_SrAlHg3
_cell_length_a 6.143
_cell_length_b 6.143
_cell_length_c 6.143
_cell_angle_alpha 90.00
_cell_angle_beta 90.00
_cell_angle_gamma 90.00
_space_group_name_H-M_alt 'P m -3 m'
_space_group_IT_number 221
_space_group_name_Hall '-P 4 2 3'
loop_
_atom_site_label
_atom_site_type_symbol
_atom_site_fract_x
_atom_site_fract_y
_atom_site_fract_z
Sr1 Sr 0.000 0.000 0.000
Al1 Al 0.500 0.500 0.500
Hg1 Hg 0.000 0.000 0.500
```



Compound: Sr4AlHg2
Source: Alexandria
Functional: GGA-PBE
Structure: relaxed

Properties
**ΔE_f**: -2.24 eV per formula unit
**Mass density**: 5.12 g/cm³

CIF file:
```
data_Sr4AlHg2
_cell_length_a 5.6122
_cell_length_b 5.6122
_cell_length_c 27.7553
_cell_angle_alpha 90.00
_cell_angle_beta 90.00
_cell_angle_gamma 120.00
_space_group_name_H-M_alt 'R -3 m'
_space_group_IT_number 166
_space_group_name_Hall '-R 3 2"'
loop_
_atom_site_label
_atom_site_type_symbol
_atom_site_fract_x
_atom_site_fract_y
_atom_site_fract_z
Sr1 Sr 0.0000 0.0000 0.1235
Sr2 Sr 0.0000 0.0000 0.3740
Al1 Al 0.0000 0.0000 0.0000
Hg1 Hg 0.0000 0.0000 0.2506
```